# 1
Entry from Alexandria via LeMat-Bulk: a geometry-optimized PrSm3Tm2 structure (PBE-GGA).

Geometry as extended XYZ:
```
12
Lattice="3.563 0.000 0.641 1.693 6.584 0.810 -1.173 -0.847 16.752" Properties=species:S:1:pos:R:3 pbc="T T T"
Tm 2.557 1.538 16.463
Tm 1.808 1.936 10.399
Tm 2.275 3.801 7.803
Tm 1.526 4.199 1.740
Sm 1.494 0.598 1.918
Sm 2.589 5.139 16.285
Sm -0.403 0.198 12.467
Sm 0.526 0.723 7.304
Sm 4.485 5.539 5.736
Sm 3.557 5.014 10.899
Pr 1.249 3.243 13.511
Pr 2.834 2.494 4.691
```

Computed properties:
E above lowest polymorph = 0 meV per atom
space-group type = C2/m

---

# 2
Entry from Alexandria via LeMat-Bulk: a geometry-optimized BeReRh structure (PBE-GGA).

Geometry as extended XYZ:
```
6
Lattice="-0.247 0.747 -2.572 -2.094 -4.224 -1.027 -5.559 1.177 2.284" Properties=species:S:1:pos:R:3 pbc="T T T"
Be -1.545 -2.223 -2.139
Be -0.435 -0.583 -0.366
Rh -3.878 -2.979 -2.136
Rh -5.259 -0.693 -1.338
Re -3.999 0.984 0.434
Re -2.826 -1.163 -0.302
```

Computed properties:
E above lowest polymorph = 163 meV per atom
space-group type = Cm

---

# 3
Entry from Alexandria via LeMat-Bulk: a geometry-optimized BaAs2Rh structure (PBE-GGA).

Geometry as extended XYZ:
```
4
Lattice="-2.622 -0.729 2.296 0.876 -3.451 -0.096 4.554 1.003 5.520" Properties=species:S:1:pos:R:3 pbc="T T T"
As 4.373 0.963 5.300
As 0.014 -1.895 2.175
Rh 3.012 -1.235 5.809
Ba 2.241 0.493 2.716
```

Computed properties:
space-group type = P4mm

---

# 4
Entry from Alexandria via LeMat-Bulk: a geometry-optimized MgScIr2 structure (PBE-GGA).

Geometry as extended XYZ:
```
4
Lattice="-2.901 3.225 3.782 -1.965 -4.092 -3.537 3.264 -4.557 -1.304" Properties=species:S:1:pos:R:3 pbc="T T T"
Mg 0.000 0.000 0.000
Ir 0.321 -2.142 -1.199
Ir 0.977 -6.508 -3.642
Sc 0.649 -4.325 -2.420
```

Computed properties:
space-group type = Immm

---

# 5
Entry from Alexandria via LeMat-Bulk: a geometry-optimized CeInNi5 structure (PBE-GGA).

Geometry as extended XYZ:
```
28
Lattice="-2.471 3.303 -2.594 -6.844 -2.083 3.867 1.923 7.130 7.246" Properties=species:S:1:pos:R:3 pbc="T T T"
Ni -6.005 6.056 6.566
Ni 0.845 4.772 5.266
Ni -1.387 2.293 1.953
Ni -2.344 4.593 8.075
Ni -3.577 6.240 6.781
Ni -4.580 -0.269 1.732
Ni -6.922 -0.406 3.788
Ni -2.544 7.241 4.778
Ni -0.387 6.420 3.972
Ni -5.048 3.757 0.443
Ni -2.942 2.703 3.955
Ni -2.812 8.618 6.786
Ni -7.130 4.255 5.344
Ni -4.848 1.108 3.741
Ni -0.262 4.095 3.175
Ni -4.450 5.647 4.563
Ni -3.815 2.109 1.737
Ni -8.237 3.577 3.253
Ni -7.005 1.930 4.547
Ni -0.471 8.755 4.730
In -4.873 5.165 8.930
In -2.520 3.184 -0.411
In -5.515 3.725 3.131
In -1.877 4.624 5.388
Ce -2.675 5.121 2.203
Ce -0.556 7.010 7.167
Ce -4.717 3.229 6.316
Ce -6.836 1.339 1.352
```

Computed properties:
space-group type = Pnma

---

# 6
Entry from Alexandria via LeMat-Bulk: a geometry-optimized Mg5Cd2Cu2Rh structure (PBE-GGA).

Geometry as extended XYZ:
```
20
Lattice="3.149 0.000 0.000 0.000 10.955 0.000 0.000 0.000 10.955" Properties=species:S:1:pos:R:3 pbc="T T T"
Rh 0.000 0.000 0.000
Rh 0.000 5.478 5.478
Mg 1.574 7.572 4.953
Mg 1.574 0.000 5.478
Mg 1.574 4.953 3.383
Mg 1.574 8.860 10.430
Mg 1.574 2.095 0.525
Mg 1.574 6.002 7.572
Mg 1.574 5.478 0.000
Mg 1.574 3.383 6.002
Mg 1.574 0.525 8.860
Mg 1.574 10.430 2.095
Cu 0.000 3.976 1.501
Cu 0.000 1.501 6.979
Cu 0.000 6.979 9.454
Cu 0.000 9.454 3.976
Cd 0.000 1.956 3.522
Cd 0.000 7.434 1.956
Cd 0.000 8.999 7.434
Cd 0.000 3.522 8.999
```

Computed properties:
space-group type = P4/mbm

---

What formation energy values result from the calculations? In sequence: 2.9, -11.2, -21.8, 31.4, -31.1, -13.8 kJ/mol of atoms.